Entry 1:
# La2ScTaSb (SCAN, PBEsol geometry)
data_La2ScTaSb
_symmetry_space_group_name_H-M 'P 4/m m m'
_symmetry_Int_Tables_number 123
_symmetry_space_group_name_Hall '-P 4 2'
_cell_length_a 5.486
_cell_length_b 5.486
_cell_length_c 5.318
_cell_angle_alpha 90.00
_cell_angle_beta 90.00
_cell_angle_gamma 90.00
loop_
_atom_site_label
_atom_site_type_symbol
_atom_site_fract_x
_atom_site_fract_y
_atom_site_fract_z
La1 La 0.000 0.500 0.000
Sc1 Sc 0.000 0.000 0.500
Ta1 Ta 0.500 0.500 0.000
Sb1 Sb 0.500 0.500 0.500
# raw formation energy = 0.406 eV per atom

---

Entry 2:
# Zr2TaCl (SCAN, PBEsol geometry)
data_Zr2TaCl
_symmetry_space_group_name_H-M 'I -4 m 2'
_symmetry_Int_Tables_number 119
_symmetry_space_group_name_Hall 'I -4 -2'
_cell_length_a 3.831
_cell_length_b 3.831
_cell_length_c 10.340
_cell_angle_alpha 90.00
_cell_angle_beta 90.00
_cell_angle_gamma 90.00
loop_
_atom_site_label
_atom_site_type_symbol
_atom_site_fract_x
_atom_site_fract_y
_atom_site_fract_z
Zr1 Zr 0.000 0.000 0.000
Zr2 Zr 0.000 0.500 0.250
Ta1 Ta 0.000 0.500 0.750
Cl1 Cl 0.000 0.000 0.500
# raw formation energy = 0.315 eV per atom
# distance to the lowest polymorph of the same formula = 344 meV/atom

---

Entry 3:
# CaAgBiO5 (SCAN, PBEsol geometry)
data_CaAgBiO5
_symmetry_space_group_name_H-M 'P 1 21/c 1'
_symmetry_Int_Tables_number 14
_symmetry_space_group_name_Hall '-P 2ybc'
_cell_length_a 5.765
_cell_length_b 10.840
_cell_length_c 8.726
_cell_angle_alpha 90.00
_cell_angle_beta 107.64
_cell_angle_gamma 90.00
loop_
_atom_site_label
_atom_site_type_symbol
_atom_site_fract_x
_atom_site_fract_y
_atom_site_fract_z
Ca1 Ca 0.025 0.108 0.162
Ag1 Ag 0.429 0.623 0.115
Bi1 Bi 0.462 0.095 0.841
O1 O 0.188 0.516 0.179
O2 O 0.244 0.720 0.557
O3 O 0.276 0.034 0.008
O4 O 0.280 0.236 0.341
O5 O 0.359 0.524 0.824
# raw formation energy = -1.128 eV per atom

---

Entry 4:
# SbTe2Rh (SCAN, PBEsol geometry)
data_SbTe2Rh
_symmetry_space_group_name_H-M 'P 4 m m'
_symmetry_Int_Tables_number 99
_symmetry_space_group_name_Hall 'P 4 -2'
_cell_length_a 3.183
_cell_length_b 3.183
_cell_length_c 9.388
_cell_angle_alpha 90.00
_cell_angle_beta 90.00
_cell_angle_gamma 90.00
loop_
_atom_site_label
_atom_site_type_symbol
_atom_site_fract_x
_atom_site_fract_y
_atom_site_fract_z
Sb1 Sb 0.000 0.000 0.000
Te1 Te 0.000 0.000 0.648
Te2 Te 0.500 0.500 0.319
Rh1 Rh 0.500 0.500 0.816
# raw formation energy = -0.079 eV per atom

---

Entry 5:
# BaLaBi3 (SCAN, PBEsol geometry)
data_BaLaBi3
_symmetry_space_group_name_H-M 'P m -3 m'
_symmetry_Int_Tables_number 221
_symmetry_space_group_name_Hall '-P 4 2 3'
_cell_length_a 6.001
_cell_length_b 6.001
_cell_length_c 6.001
_cell_angle_alpha 90.00
_cell_angle_beta 90.00
_cell_angle_gamma 90.00
loop_
_atom_site_label
_atom_site_type_symbol
_atom_site_fract_x
_atom_site_fract_y
_atom_site_fract_z
Ba1 Ba 0.000 0.000 0.000
La1 La 0.500 0.500 0.500
Bi1 Bi 0.000 0.000 0.500
# ΔH_f (0 K) = 0.353 eV/atom

---

Entry 6:
# SrZrAu2 (SCAN, PBEsol geometry)
data_SrZrAu2
_symmetry_space_group_name_H-M 'R -3 m'
_symmetry_Int_Tables_number 166
_symmetry_space_group_name_Hall '-R 3 2"'
_cell_length_a 4.1259
_cell_length_b 4.1259
_cell_length_c 21.0357
_cell_angle_alpha 90.00
_cell_angle_beta 90.00
_cell_angle_gamma 120.00
loop_
_atom_site_label
_atom_site_type_symbol
_atom_site_fract_x
_atom_site_fract_y
_atom_site_fract_z
Sr1 Sr 0.0000 0.0000 0.0000
Zr1 Zr 0.0000 0.0000 0.5000
Au1 Au 0.0000 0.0000 0.2313
# ΔH_f (0 K) = -0.637 eV/atom
# distance to the lowest polymorph of the same formula = 0 meV/atom

---

Entry 7:
# TiTc2I (SCAN, PBEsol geometry)
data_TiTc2I
_symmetry_space_group_name_H-M 'F m -3 m'
_symmetry_Int_Tables_number 225
_symmetry_space_group_name_Hall '-F 4 2 3'
_cell_length_a 6.321
_cell_length_b 6.321
_cell_length_c 6.321
_cell_angle_alpha 90.00
_cell_angle_beta 90.00
_cell_angle_gamma 90.00
loop_
_atom_site_label
_atom_site_type_symbol
_atom_site_fract_x
_atom_site_fract_y
_atom_site_fract_z
Ti1 Ti 0.000 0.000 0.000
Tc1 Tc 0.250 0.250 0.250
I1 I 0.000 0.000 0.500
# raw formation energy = 0.353 eV per atom

---

Entry 8:
# TaW (SCAN, PBEsol geometry)
data_TaW
_symmetry_space_group_name_H-M 'P 4/n m m'
_symmetry_Int_Tables_number 129
_cell_length_a 3.190
_cell_length_b 3.190
_cell_length_c 6.480
_cell_angle_alpha 90.00
_cell_angle_beta 90.00
_cell_angle_gamma 90.00
loop_
_symmetry_equiv_pos_as_xyz
'x,y,z'
'-x,-y,-z'
'-y+1/2,x,z'
'y+1/2,-x,-z'
'-x+1/2,-y+1/2,z'
'x+1/2,y+1/2,-z'
'y,-x+1/2,z'
'-y,x+1/2,-z'
'x+1/2,-y,-z'
'-x+1/2,y,z'
'-y,-x,-z'
'y,x,z'
'-x,y+1/2,-z'
'x,-y+1/2,z'
'y+1/2,x+1/2,-z'
'-y+1/2,-x+1/2,z'
loop_
_atom_site_label
_atom_site_type_symbol
_atom_site_fract_x
_atom_site_fract_y
_atom_site_fract_z
Ta1 Ta 0.250 0.250 0.130
W1 W 0.250 0.250 0.619
# ΔH_f (0 K) = -0.088 eV/atom

---

Entry 9:
# Na3GaSe3 (SCAN, PBEsol geometry)
data_Na3GaSe3
_symmetry_space_group_name_H-M 'P 1 21/c 1'
_symmetry_Int_Tables_number 14
_symmetry_space_group_name_Hall '-P 2ybc'
_cell_length_a 7.426
_cell_length_b 7.190
_cell_length_c 14.980
_cell_angle_alpha 90.00
_cell_angle_beta 118.77
_cell_angle_gamma 90.00
loop_
_atom_site_label
_atom_site_type_symbol
_atom_site_fract_x
_atom_site_fract_y
_atom_site_fract_z
Na1 Na 0.059 0.029 0.285
Na2 Na 0.275 0.000 0.107
Na3 Na 0.317 0.000 0.601
Ga1 Ga 0.331 0.642 0.417
Se1 Se 0.045 0.740 0.927
Se2 Se 0.344 0.743 0.269
Se3 Se 0.348 0.201 0.928
# raw formation energy = -1.115 eV per atom

---

Entry 10:
# CuAgPt2 (SCAN, PBEsol geometry)
data_CuAgPt2
_symmetry_space_group_name_H-M 'I m m m'
_symmetry_Int_Tables_number 71
_symmetry_space_group_name_Hall '-I 2 2'
_cell_length_a 2.758
_cell_length_b 4.604
_cell_length_c 9.197
_cell_angle_alpha 90.00
_cell_angle_beta 90.00
_cell_angle_gamma 90.00
loop_
_atom_site_label
_atom_site_type_symbol
_atom_site_fract_x
_atom_site_fract_y
_atom_site_fract_z
Cu1 Cu 0.000 0.000 0.000
Ag1 Ag 0.000 0.000 0.500
Pt1 Pt 0.000 0.500 0.264
# ΔH_f (0 K) = -0.075 eV/atom
# distance to the lowest polymorph of the same formula = 48 meV/atom

---

Entry 11:
# Li13Ti28O56 (SCAN, PBEsol geometry)
data_Li13Ti28O56
_symmetry_space_group_name_H-M 'R 3'
_symmetry_Int_Tables_number 146
_symmetry_space_group_name_Hall 'R 3'
_cell_length_a 15.6394
_cell_length_b 15.6394
_cell_length_c 14.4806
_cell_angle_alpha 90.00
_cell_angle_beta 90.00
_cell_angle_gamma 120.00
loop_
_atom_site_label
_atom_site_type_symbol
_atom_site_fract_x
_atom_site_fract_y
_atom_site_fract_z
Li1 Li 0.0000 0.0000 0.0000
Li2 Li 0.0474 0.2363 0.6696
Li3 Li 0.0477 0.2381 0.4191
Li4 Li 0.1427 0.7142 0.0025
Li5 Li 0.1429 0.7144 0.7522
Ti1 Ti 0.0000 0.0000 0.3772
Ti2 Ti 0.0002 0.5007 0.8772
Ti3 Ti 0.0237 0.1189 0.2102
Ti4 Ti 0.0238 0.6196 0.2105
Ti5 Ti 0.0473 0.2388 0.0439
Ti6 Ti 0.0713 0.3572 0.8782
Ti7 Ti 0.0708 0.8576 0.8767
Ti8 Ti 0.1181 0.0944 0.5447
Ti9 Ti 0.1439 0.7142 0.3780
Ti10 Ti 0.1913 0.4528 0.5434
O1 O 0.0000 0.0000 0.1389
O2 O 0.0000 0.0000 0.6113
O3 O 0.0091 0.4974 0.6235
O4 O 0.0124 0.6098 0.9566
O5 O 0.0216 0.1078 0.4640
O6 O 0.0260 0.1311 0.9569
O7 O 0.0347 0.6280 0.4647
O8 O 0.0479 0.2380 0.2819
O9 O 0.0475 0.2385 0.8066
O10 O 0.0596 0.8475 0.6230
O11 O 0.0692 0.3457 0.1317
O12 O 0.0735 0.3681 0.6236
O13 O 0.0831 0.8665 0.1311
O14 O 0.1075 0.0860 0.2896
O15 O 0.1343 0.1074 0.7995
O16 O 0.1423 0.7142 0.6157
O17 O 0.1428 0.7144 0.1394
O18 O 0.1638 0.8221 0.4648
O19 O 0.1810 0.4545 0.7981
O20 O 0.1996 0.4497 0.2897
# raw formation energy = -3.116 eV per atom

---

Entry 12:
# Sr2TiW (SCAN, PBEsol geometry)
data_Sr2TiW
_symmetry_space_group_name_H-M 'F m -3 m'
_symmetry_Int_Tables_number 225
_symmetry_space_group_name_Hall '-F 4 2 3'
_cell_length_a 7.519
_cell_length_b 7.519
_cell_length_c 7.519
_cell_angle_alpha 90.00
_cell_angle_beta 90.00
_cell_angle_gamma 90.00
loop_
_atom_site_label
_atom_site_type_symbol
_atom_site_fract_x
_atom_site_fract_y
_atom_site_fract_z
Sr1 Sr 0.250 0.250 0.250
Ti1 Ti 0.000 0.000 0.000
W1 W 0.000 0.000 0.500
# ΔH_f (0 K) = 1.556 eV/atom

---

Entry 13:
# Zn2ReRu (SCAN, PBEsol geometry)
data_Zn2ReRu
_symmetry_space_group_name_H-M 'R -3 m'
_symmetry_Int_Tables_number 166
_symmetry_space_group_name_Hall '-R 3 2"'
_cell_length_a 2.7155
_cell_length_b 2.7155
_cell_length_c 25.8317
_cell_angle_alpha 90.00
_cell_angle_beta 90.00
_cell_angle_gamma 120.00
loop_
_atom_site_label
_atom_site_type_symbol
_atom_site_fract_x
_atom_site_fract_y
_atom_site_fract_z
Zn1 Zn 0.0000 0.0000 0.2480
Re1 Re 0.0000 0.0000 0.0000
Ru1 Ru 0.0000 0.0000 0.5000
# ΔH_f (0 K) = 0.159 eV/atom
# distance to the lowest polymorph of the same formula = 209 meV/atom

---

Entry 14:
# TaCoW2 (SCAN, PBEsol geometry)
data_TaCoW2
_symmetry_space_group_name_H-M 'C 1 2/m 1'
_symmetry_Int_Tables_number 12
_symmetry_space_group_name_Hall '-C 2y'
_cell_length_a 9.409
_cell_length_b 2.907
_cell_length_c 4.581
_cell_angle_alpha 90.00
_cell_angle_beta 107.37
_cell_angle_gamma 90.00
loop_
_atom_site_label
_atom_site_type_symbol
_atom_site_fract_x
_atom_site_fract_y
_atom_site_fract_z
Ta1 Ta 0.000 0.000 0.000
Co1 Co 0.000 0.500 0.500
W1 W 0.231 0.000 0.726
# ΔH_f (0 K) = 0.214 eV/atom
# distance to the lowest polymorph of the same formula = 231 meV/atom

---

Entry 15:
# MgReOs2 (SCAN, PBEsol geometry)
data_MgReOs2
_symmetry_space_group_name_H-M 'C m m m'
_symmetry_Int_Tables_number 65
_symmetry_space_group_name_Hall '-C 2 2'
_cell_length_a 2.870
_cell_length_b 4.594
_cell_length_c 9.021
_cell_angle_alpha 90.00
_cell_angle_beta 90.00
_cell_angle_gamma 90.00
loop_
_atom_site_label
_atom_site_type_symbol
_atom_site_fract_x
_atom_site_fract_y
_atom_site_fract_z
Mg1 Mg 0.000 0.000 0.000
Re1 Re 0.000 0.000 0.500
Os1 Os 0.000 0.500 0.256
# ΔH_f (0 K) = 0.356 eV/atom

---

Entry 16:
# InRh2Se (SCAN, PBEsol geometry)
data_InRh2Se
_symmetry_space_group_name_H-M 'I -4 m 2'
_symmetry_Int_Tables_number 119
_symmetry_space_group_name_Hall 'I -4 -2'
_cell_length_a 3.758
_cell_length_b 3.758
_cell_length_c 9.119
_cell_angle_alpha 90.00
_cell_angle_beta 90.00
_cell_angle_gamma 90.00
loop_
_atom_site_label
_atom_site_type_symbol
_atom_site_fract_x
_atom_site_fract_y
_atom_site_fract_z
In1 In 0.000 0.000 0.000
Rh1 Rh 0.000 0.000 0.500
Rh2 Rh 0.000 0.500 0.250
Se1 Se 0.000 0.500 0.750
# raw formation energy = 0.038 eV per atom

---

Entry 17:
# NdMg16Al12 (SCAN, PBEsol geometry)
data_NdMg16Al12
_symmetry_space_group_name_H-M 'R 3 m'
_symmetry_Int_Tables_number 160
_symmetry_space_group_name_Hall 'R 3 -2"'
_cell_length_a 15.0034
_cell_length_b 15.0034
_cell_length_c 8.9373
_cell_angle_alpha 90.00
_cell_angle_beta 90.00
_cell_angle_gamma 120.00
loop_
_atom_site_label
_atom_site_type_symbol
_atom_site_fract_x
_atom_site_fract_y
_atom_site_fract_z
Nd1 Nd 0.0000 0.0000 0.0000
Mg1 Mg 0.0000 0.0000 0.6244
Mg2 Mg 0.0334 0.3602 0.9874
Mg3 Mg 0.1041 0.5520 0.1767
Mg4 Mg 0.1106 0.2212 0.1262
Mg5 Mg 0.1995 0.3990 0.7428
Al1 Al 0.0019 0.1840 0.8102
Al2 Al 0.1230 0.0615 0.3166
Al3 Al 0.2124 0.4249 0.2260
# ΔH_f (0 K) = -0.071 eV/atom
# distance to the lowest polymorph of the same formula = 6 meV/atom

---

Entry 18:
# Fe2RePCl (SCAN, PBEsol geometry)
data_Fe2RePCl
_symmetry_space_group_name_H-M 'P 4/m m m'
_symmetry_Int_Tables_number 123
_symmetry_space_group_name_Hall '-P 4 2'
_cell_length_a 4.659
_cell_length_b 4.659
_cell_length_c 4.303
_cell_angle_alpha 90.00
_cell_angle_beta 90.00
_cell_angle_gamma 90.00
loop_
_atom_site_label
_atom_site_type_symbol
_atom_site_fract_x
_atom_site_fract_y
_atom_site_fract_z
Fe1 Fe 0.000 0.500 0.000
Re1 Re 0.000 0.000 0.000
P1 P 0.500 0.500 0.500
Cl1 Cl 0.000 0.000 0.500
# raw formation energy = 1.516 eV per atom

---

Entry 19:
# FeSb2Os (SCAN, PBEsol geometry)
data_FeSb2Os
_symmetry_space_group_name_H-M 'P 4/m m m'
_symmetry_Int_Tables_number 123
_symmetry_space_group_name_Hall '-P 4 2'
_cell_length_a 3.183
_cell_length_b 3.183
_cell_length_c 6.459
_cell_angle_alpha 90.00
_cell_angle_beta 90.00
_cell_angle_gamma 90.00
loop_
_atom_site_label
_atom_site_type_symbol
_atom_site_fract_x
_atom_site_fract_y
_atom_site_fract_z
Fe1 Fe 0.000 0.000 0.000
Sb1 Sb 0.500 0.500 0.239
Os1 Os 0.000 0.000 0.500
# raw formation energy = 0.561 eV per atom
# distance to the lowest polymorph of the same formula = 86 meV/atom

---

Entry 20:
# BPd2 (SCAN, PBEsol geometry)
data_BPd2
_symmetry_space_group_name_H-M 'P n n m'
_symmetry_Int_Tables_number 58
_symmetry_space_group_name_Hall '-P 2 2n'
_cell_length_a 4.702
_cell_length_b 5.085
_cell_length_c 3.110
_cell_angle_alpha 90.00
_cell_angle_beta 90.00
_cell_angle_gamma 90.00
loop_
_atom_site_label
_atom_site_type_symbol
_atom_site_fract_x
_atom_site_fract_y
_atom_site_fract_z
B1 B 0.000 0.000 0.000
Pd1 Pd 0.248 0.155 0.500
# ΔH_f (0 K) = -0.329 eV/atom